Computed, not measured: PaV2HgO8 after structural relaxation at the PBE with a Hubbard U level of DFT.

E_tot (eV/atom): -7.435
M_tot (μB/f.u.): 1.01

Lattice parameters (Å, degrees): 5.9645 5.9645 7.1321 90.00 90.00 120.00
Space group P-3m1 (No. 164)
Asymmetric unit:
Pa1 0.0000 0.0000 0.0000 x1
V1 0.3333 0.6667 0.7365 x2
Hg1 0.0000 0.0000 0.5000 x1
O1 0.1697 0.3394 0.8197 x6
O2 0.3333 0.6667 0.5073 x2